Entry 1:
CrIr3: single point on PBEsol structure, meta-GGA SCAN.

The structure in CIF format:
```
data_CrIr3
_symmetry_space_group_name_H-M 'P 1'
_symmetry_Int_Tables_number 1
_cell_length_a 3.778
_cell_length_b 3.778
_cell_length_c 3.778
_cell_angle_alpha 90.00
_cell_angle_beta 90.00
_cell_angle_gamma 90.00
loop_
_symmetry_equiv_pos_as_xyz
'x,y,z'
loop_
_atom_site_label
_atom_site_fract_x
_atom_site_fract_y
_atom_site_fract_z
_atom_site_occupancy
Ir1 0.500 0.500 0.000 1
Ir2 0.500 0.000 0.500 1
Ir3 0.000 0.500 0.500 1
Cr1 0.000 0.000 0.000 1
```

Output
ΔE_f ... -372 meV per atom
Crystal system ... cubic
Space group ... Pm-3m


Entry 2:
KCrIr: single point on PBEsol structure, meta-GGA SCAN.

The structure in CIF format:
```
data_KCrIr
_symmetry_space_group_name_H-M 'P 1'
_symmetry_Int_Tables_number 1
_cell_length_a 2.792
_cell_length_b 3.760
_cell_length_c 6.509
_cell_angle_alpha 106.79
_cell_angle_beta 102.38
_cell_angle_gamma 90.00
loop_
_symmetry_equiv_pos_as_xyz
'x,y,z'
loop_
_atom_site_label
_atom_site_fract_x
_atom_site_fract_y
_atom_site_fract_z
_atom_site_occupancy
Ir1 0.617 0.617 0.234 1
K1 0.329 0.329 0.657 1
Cr1 0.055 0.055 0.109 1
```

Output
Distance to the lowest polymorph of the same formula ... 0.000 eV/atom
ΔE_f ... 328 meV per atom
Crystal system ... orthorhombic
Space group ... Imm2


Entry 3:
KCrIr: single point on PBEsol structure, meta-GGA SCAN.

The structure in CIF format:
```
data_KCrIr
_symmetry_space_group_name_H-M 'P 1'
_symmetry_Int_Tables_number 1
_cell_length_a 4.532
_cell_length_b 4.532
_cell_length_c 4.532
_cell_angle_alpha 60.00
_cell_angle_beta 60.00
_cell_angle_gamma 60.00
loop_
_symmetry_equiv_pos_as_xyz
'x,y,z'
loop_
_atom_site_label
_atom_site_fract_x
_atom_site_fract_y
_atom_site_fract_z
_atom_site_occupancy
Cr1 0.500 0.500 0.500 1
K1 0.000 0.000 0.000 1
Ir1 0.750 0.750 0.750 1
```

Output
Distance to the lowest polymorph of the same formula ... 0.839 eV/atom
ΔE_f ... 1167 meV per atom
Crystal system ... cubic
Space group ... F-43m


Entry 4:
La2CrIr: single point on PBEsol structure, meta-GGA SCAN.

The structure in CIF format:
```
data_La2CrIr
_symmetry_space_group_name_H-M 'P 1'
_symmetry_Int_Tables_number 1
_cell_length_a 3.936
_cell_length_b 4.888
_cell_length_c 5.740
_cell_angle_alpha 115.20
_cell_angle_beta 110.05
_cell_angle_gamma 90.00
loop_
_symmetry_equiv_pos_as_xyz
'x,y,z'
loop_
_atom_site_label
_atom_site_fract_x
_atom_site_fract_y
_atom_site_fract_z
_atom_site_occupancy
La1 0.777 0.277 0.554 1
La2 0.972 0.972 0.944 1
Ir1 0.185 0.685 0.371 1
Cr1 0.566 0.566 0.132 1
```

Output
ΔE_f ... -168 meV per atom
Crystal system ... orthorhombic
Space group ... Imm2


Uncorrected energy in Ry/atom, matching the order above: -4.284, -2.372, -2.311, -3.241
Volume in Å³/f.u., matching the order above: 54, 64, 66, 92
Total magnetization in μB per formula unit, matching the order above: 1.3, 3.3, 4.0, 2.8